Record 1
## Cs2ThGaS4 (PBE-GGA)

Data for a geometry-optimized Cs2ThGaS4 structure.

Output
ΔE_f (raw) (meV per atom): -1147

a b c (Å): 15.1113 13.5416 8.1981
angles (deg): 84.25 63.08 32.67
Atoms (fractional coordinates):
Cs  0.0546  0.0546  0.6954
Cs  0.3046  0.3046  0.9454
Cs  0.6954  0.6954  0.0546
Cs  0.9454  0.9454  0.3046
Th  0.1250  0.1250  0.1250
Th  0.8750  0.8750  0.8750
Ga  0.3750  0.3750  0.3750
Ga  0.6250  0.6250  0.6250
S  0.0169  0.6366  0.5483
S  0.2982  0.5483  0.6366
S  0.3634  0.9831  0.7018
S  0.4517  0.7018  0.9831
S  0.5483  0.2982  0.0169
S  0.6366  0.0169  0.2982
S  0.7018  0.4517  0.3634
S  0.9831  0.3634  0.4517


Record 2
## Cs2TlGaS4 (PBE-GGA)

Data for a geometry-optimized Cs2TlGaS4 structure.

Output
ΔE_f (raw) (meV per atom): -812

a b c (Å): 14.2690 12.7080 7.8997
angles (deg): 84.20 62.38 33.42
Atoms (fractional coordinates):
Cs  0.0545  0.0545  0.6955
Cs  0.3045  0.3045  0.9455
Cs  0.6955  0.6955  0.0545
Cs  0.9455  0.9455  0.3045
Tl  0.1250  0.1250  0.1250
Tl  0.8750  0.8750  0.8750
Ga  0.3750  0.3750  0.3750
Ga  0.6250  0.6250  0.6250
S  0.0075  0.6389  0.5578
S  0.2957  0.5578  0.6389
S  0.3611  0.9925  0.7043
S  0.4422  0.7043  0.9925
S  0.5578  0.2957  0.0075
S  0.6389  0.0075  0.2957
S  0.7043  0.4422  0.3611
S  0.9925  0.3611  0.4422